Density functional theory data (PBE-GGA) for a relaxed P4OsPb crystal.

Lattice parameters (Å, degrees): 7.4797 7.4797 7.4797 90.00 90.00 90.00
Last column: nearest neighbours and their distance in Å.
Space group F-43m (No. 216)
Inequivalent atoms, fractional coordinates:
P: 0.1124 0.1124 0.1124  3 P 2.38
Os: 0.0000 0.0000 0.5000  12 P 3.13, 4 Pb 3.24
Pb: 0.2500 0.2500 0.7500  12 P 3.08, 4 Os 3.24

Computed properties:
The calculation puts the total energy at -120.7 eV/cell. The value obtained for the density of states at the Fermi level is 8.055 states/eV/cell. Its energy of formation from the pure elements is 6.400 eV per formula unit.


Density functional theory data (PBE-GGA) for a relaxed POsPb2 crystal.

Lattice parameters (Å, degrees): 6.4103 7.7817 3.3454 90.00 94.61 90.00
Last column: nearest neighbours and their distance in Å.
Space group C2/m (No. 12)
Inequivalent atoms, fractional coordinates:
P: 0.0000 0.0000 0.0000  8 Pb 2.95-3.10, 2 Os 3.21
Os: 0.0000 0.5000 0.0000  8 Pb 2.95-3.10, 2 P 3.21
Pb: 0.2500 0.2500 0.5000  4 Os 2.95-3.10, 4 P 2.95-3.10, 2 Pb 3.21

Computed properties:
The calculation puts the total energy at -40.7 eV/cell. The value obtained for the density of states at the Fermi level is 6.147 states/eV/cell. Its energy of formation from the pure elements is 3.705 eV per formula unit.